# 1
This record from the Alexandria database describes RbHfPS6 after structural relaxation. The functional is PBE.

Cell: 6.1941 6.1941 7.7417 Å, 90.00 90.00 120.00°
Atoms (fractional coordinates):
Rb 0.0000 0.0000 0.0000
Hf 0.3333 0.6667 0.5000
P 0.6667 0.3333 0.5000
S 0.3836 0.0357 0.6713
S 0.3836 0.3479 0.3287
S 0.6521 0.0357 0.3287
S 0.6521 0.6163 0.6713
S 0.9643 0.3479 0.6713
S 0.9643 0.6163 0.3287

Computed properties:
**Uncorrected formation energy**: -0.500 eV per atom
**Size of the total moment**: 0.0923 μB per atom
**Volume**: 28.582 A^3/atom



# 2
This record from the Alexandria database describes RbHfPSe6 after structural relaxation. The functional is PBE.

Cell: 6.3480 6.3480 8.4231 Å, 90.00 90.00 120.00°
Atoms (fractional coordinates):
Rb 0.0000 0.0000 0.0000
Hf 0.6667 0.3333 0.5000
P 0.3333 0.6667 0.5000
Se 0.0218 0.3690 0.3206
Se 0.0218 0.6529 0.6794
Se 0.3471 0.3690 0.6794
Se 0.3471 0.9782 0.3206
Se 0.6310 0.6529 0.3206
Se 0.6310 0.9782 0.6794

Computed properties:
**Uncorrected formation energy**: -0.429 eV per atom
**Size of the total moment**: 0.0000 μB per atom
**Volume**: 32.662 A^3/atom



# 3
This record from the Alexandria database describes RbHfP2Se8 after structural relaxation. The functional is PBE.

Cell: 10.5124 10.5124 10.5124 Å, 35.71 35.71 35.71°
Atoms (fractional coordinates):
Rb 0.0000 0.0000 0.0000
Hf 0.5000 0.5000 0.5000
P 0.2392 0.2392 0.2392
P 0.7608 0.7608 0.7608
Se 0.1119 0.4362 0.8002
Se 0.1998 0.8881 0.5638
Se 0.3125 0.3125 0.3125
Se 0.4362 0.8002 0.1119
Se 0.5638 0.1998 0.8881
Se 0.6875 0.6875 0.6875
Se 0.8002 0.1119 0.4362
Se 0.8881 0.5638 0.1998

Computed properties:
**Uncorrected formation energy**: -0.437 eV per atom
**Size of the total moment**: 0.0001 μB per atom
**Volume**: 29.487 A^3/atom



# 4
This record from the Alexandria database describes Rb2HfPSe after structural relaxation. The functional is PBE.

Cell: 6.7988 6.7988 4.6624 Å, 90.00 90.00 90.00°
Atoms (fractional coordinates):
Rb 0.0000 0.5000 0.0000
Rb 0.5000 0.0000 0.0000
Hf 0.0000 0.0000 0.5000
P 0.5000 0.5000 0.0000
Se 0.5000 0.5000 0.5000

Computed properties:
**Uncorrected formation energy**: 0.882 eV per atom
**Size of the total moment**: 0.5157 μB per atom
**Volume**: 43.102 A^3/atom



# 5
This record from the Alexandria database describes RbHfTa2P after structural relaxation. The functional is PBE.

Cell: 4.7959 4.7959 5.1167 Å, 90.00 90.00 90.00°
Atoms (fractional coordinates):
Rb 0.0000 0.0000 0.0000
Hf 0.5000 0.5000 0.5000
Ta 0.0000 0.5000 0.0000
Ta 0.5000 0.0000 0.0000
P 0.0000 0.0000 0.5000

Computed properties:
**Size of the total moment**: 0.0000 μB per atom
**Energy of formation from the pure elements**: 2835 meV per atom
**Volume**: 23.538 A^3/atom



# 6
This record from the Alexandria database describes HfReP3 after structural relaxation. The functional is PBE.

Cell: 4.6155 4.6155 4.6155 Å, 90.00 90.00 90.00°
Atoms (fractional coordinates):
Hf 0.0000 0.0000 0.0000
Re 0.5000 0.5000 0.5000
P 0.0000 0.5000 0.5000
P 0.5000 0.0000 0.5000
P 0.5000 0.5000 0.0000

Computed properties:
**Size of the total moment**: 0.0000 μB per atom
**Energy of formation from the pure elements**: 621 meV per atom
**Volume**: 19.664 A^3/atom



# 7
This record from the Alexandria database describes Hf9Re4P after structural relaxation. The functional is PBE.

Cell: 8.5375 8.5375 8.6249 Å, 90.00 90.00 120.00°
Atoms (fractional coordinates):
Hf 0.0794 0.5397 0.2500
Hf 0.1962 0.3925 0.5491
Hf 0.1962 0.3925 0.9509
Hf 0.1962 0.8038 0.5491
Hf 0.1962 0.8038 0.9509
Hf 0.3925 0.1962 0.0491
Hf 0.3925 0.1962 0.4509
Hf 0.4603 0.5397 0.2500
Hf 0.4603 0.9206 0.2500
Hf 0.5397 0.0794 0.7500
Hf 0.5397 0.4603 0.7500
Hf 0.6075 0.8038 0.5491
Hf 0.6075 0.8038 0.9509
Hf 0.8038 0.1962 0.0491
Hf 0.8038 0.1962 0.4509
Hf 0.8038 0.6075 0.0491
Hf 0.8038 0.6075 0.4509
Hf 0.9206 0.4603 0.7500
Re 0.0000 0.0000 0.0000
Re 0.0000 0.0000 0.5000
Re 0.1095 0.2190 0.2500
Re 0.1095 0.8905 0.2500
Re 0.2190 0.1095 0.7500
Re 0.7810 0.8905 0.2500
Re 0.8905 0.1095 0.7500
Re 0.8905 0.7810 0.7500
P 0.3333 0.6667 0.7500
P 0.6667 0.3333 0.2500

Computed properties:
**Size of the total moment**: 0.0002 μB per atom
**Energy of formation from the pure elements**: -455 meV per atom
**Volume**: 19.444 A^3/atom



# 8
This record from the Alexandria database describes Hf3ReP after structural relaxation. The functional is PBE.

Cell: 4.7174 4.7174 4.7174 Å, 90.00 90.00 90.00°
Atoms (fractional coordinates):
Hf 0.0000 0.0000 0.5000
Hf 0.0000 0.5000 0.0000
Hf 0.5000 0.0000 0.0000
Re 0.5000 0.5000 0.5000
P 0.0000 0.0000 0.0000

Computed properties:
**ΔE to the lowest computed polymorph**: 0.0 kJ/mol of atoms
**Size of the total moment**: 0.0856 μB per atom
**Energy of formation from the pure elements**: 202 meV per atom
**Volume**: 20.996 A^3/atom



# 9
This record from the Alexandria database describes Hf2ReP2 after structural relaxation. The functional is PBE.

Cell: 6.6592 6.6592 3.5817 Å, 90.00 90.00 90.00°
Atoms (fractional coordinates):
Hf 0.1575 0.3425 0.0000
Hf 0.3425 0.8425 0.0000
Hf 0.6575 0.1575 0.0000
Hf 0.8425 0.6575 0.0000
Re 0.0000 0.0000 0.5000
Re 0.5000 0.5000 0.5000
P 0.1476 0.6476 0.5000
P 0.3524 0.1476 0.5000
P 0.6476 0.8524 0.5000
P 0.8524 0.3524 0.5000

Computed properties:
**Size of the total moment**: 0.0000 μB per atom
**Energy of formation from the pure elements**: -813 meV per atom
**Volume**: 15.883 A^3/atom



# 10
This record from the Alexandria database describes HfRe3P after structural relaxation. The functional is PBE.

Cell: 4.3998 4.3998 4.3998 Å, 90.00 90.00 90.00°
Atoms (fractional coordinates):
Hf 0.0000 0.0000 0.0000
Re 0.0000 0.5000 0.5000
Re 0.5000 0.0000 0.5000
Re 0.5000 0.5000 0.0000
P 0.5000 0.5000 0.5000

Computed properties:
**ΔE to the lowest computed polymorph**: 0.0 kJ/mol of atoms
**Size of the total moment**: 0.0000 μB per atom
**Energy of formation from the pure elements**: 317 meV per atom
**Volume**: 17.034 A^3/atom



# 11
This record from the Alexandria database describes HfRe2P after structural relaxation. The functional is PBE.

Cell: 5.7923 5.7923 5.7923 Å, 101.10 101.10 127.94°
Atoms (fractional coordinates):
Hf 0.0000 0.0000 0.0000
Hf 0.7500 0.2500 0.5000
Re 0.2118 0.1250 0.5868
Re 0.3750 0.7882 0.9132
Re 0.5382 0.6250 0.4132
Re 0.8750 0.4618 0.0868
P 0.2500 0.7500 0.5000
P 0.5000 0.5000 0.0000

Computed properties:
**Size of the total moment**: 0.0000 μB per atom
**Energy of formation from the pure elements**: 80 meV per atom
**Volume**: 17.215 A^3/atom



# 12
This record from the Alexandria database describes Hf3ReP after structural relaxation. The functional is PBE.

Cell: 5.0073 5.0073 5.0073 Å, 90.00 90.00 90.00°
Atoms (fractional coordinates):
Hf 0.0000 0.0000 0.5000
Hf 0.0000 0.5000 0.0000
Hf 0.5000 0.0000 0.0000
Re 0.0000 0.0000 0.0000
P 0.5000 0.5000 0.5000

Computed properties:
**ΔE to the lowest computed polymorph**: 50.6 kJ/mol of atoms
**Size of the total moment**: 0.0000 μB per atom
**Energy of formation from the pure elements**: 727 meV per atom
**Volume**: 25.110 A^3/atom



# 13
This record from the Alexandria database describes HfRe3P after structural relaxation. The functional is PBE.

Cell: 4.7989 4.7989 4.7989 Å, 90.00 90.00 90.00°
Atoms (fractional coordinates):
Hf 0.0000 0.0000 0.0000
Re 0.0000 0.0000 0.5000
Re 0.0000 0.5000 0.0000
Re 0.5000 0.0000 0.0000
P 0.5000 0.5000 0.5000

Computed properties:
**ΔE to the lowest computed polymorph**: 242.8 kJ/mol of atoms
**Size of the total moment**: 0.4266 μB per atom
**Energy of formation from the pure elements**: 2834 meV per atom
**Volume**: 22.103 A^3/atom



# 14
This record from the Alexandria database describes HfRePS2 after structural relaxation. The functional is PBE.

Cell: 4.5102 4.5102 4.8315 Å, 90.00 90.00 90.00°
Atoms (fractional coordinates):
Hf 0.0000 0.0000 0.0000
Re 0.5000 0.5000 0.5000
P 0.5000 0.5000 0.0000
S 0.0000 0.5000 0.5000
S 0.5000 0.0000 0.5000

Computed properties:
**Uncorrected formation energy**: 0.455 eV per atom
**ΔE to the lowest computed polymorph**: 0.0 kJ/mol of atoms
**Size of the total moment**: 0.0000 μB per atom
**Volume**: 19.656 A^3/atom



# 15
This record from the Alexandria database describes HfRePS2 after structural relaxation. The functional is PBE.

Cell: 4.8002 4.8002 5.2227 Å, 90.00 90.00 90.00°
Atoms (fractional coordinates):
Hf 0.0000 0.0000 0.0000
Re 0.5000 0.5000 0.5000
P 0.0000 0.0000 0.5000
S 0.0000 0.5000 0.0000
S 0.5000 0.0000 0.0000

Computed properties:
**Uncorrected formation energy**: 0.778 eV per atom
**ΔE to the lowest computed polymorph**: 31.2 kJ/mol of atoms
**Size of the total moment**: 0.8431 μB per atom
**Volume**: 24.068 A^3/atom



# 16
This record from the Alexandria database describes HfP3Rh after structural relaxation. The functional is PBE.

Cell: 4.8816 4.8816 4.8816 Å, 90.00 90.00 90.00°
Atoms (fractional coordinates):
Hf 0.0000 0.0000 0.0000
P 0.0000 0.0000 0.5000
P 0.0000 0.5000 0.0000
P 0.5000 0.0000 0.0000
Rh 0.5000 0.5000 0.5000

Computed properties:
**ΔE to the lowest computed polymorph**: 37.7 kJ/mol of atoms
**Size of the total moment**: 0.0001 μB per atom
**Energy of formation from the pure elements**: 824 meV per atom
**Volume**: 23.266 A^3/atom



# 17
This record from the Alexandria database describes Hf2PRh after structural relaxation. The functional is PBE.

Cell: 5.8113 5.8113 5.8113 Å, 105.22 105.22 118.36°
Atoms (fractional coordinates):
Hf 0.1201 0.6250 0.9951
Hf 0.3750 0.3701 0.4951
Hf 0.6299 0.1250 0.0049
Hf 0.8750 0.8799 0.5049
P 0.0000 0.0000 0.0000
P 0.7500 0.2500 0.5000
Rh 0.2500 0.7500 0.5000
Rh 0.5000 0.5000 0.0000

Computed properties:
**Size of the total moment**: 0.0000 μB per atom
**Energy of formation from the pure elements**: -512 meV per atom
**Volume**: 18.539 A^3/atom



# 18
This record from the Alexandria database describes Hf2PRh after structural relaxation. The functional is PBE.

Cell: 8.3225 8.3225 8.3225 Å, 23.42 23.42 23.42°
Atoms (fractional coordinates):
Hf 0.1005 0.1005 0.1005
Hf 0.8995 0.8995 0.8995
P 0.5000 0.5000 0.5000
Rh 0.0000 0.0000 0.0000

Computed properties:
**Size of the total moment**: 0.0000 μB per atom
**Energy of formation from the pure elements**: -285 meV per atom
**Volume**: 19.996 A^3/atom



# 19
This record from the Alexandria database describes Hf3PRh after structural relaxation. The functional is PBE.

Cell: 4.7294 4.7294 4.7294 Å, 90.00 90.00 90.00°
Atoms (fractional coordinates):
Hf 0.0000 0.0000 0.5000
Hf 0.0000 0.5000 0.0000
Hf 0.5000 0.0000 0.0000
P 0.0000 0.0000 0.0000
Rh 0.5000 0.5000 0.5000

Computed properties:
**ΔE to the lowest computed polymorph**: 0.0 kJ/mol of atoms
**Size of the total moment**: 0.0000 μB per atom
**Energy of formation from the pure elements**: -146 meV per atom
**Volume**: 21.157 A^3/atom



# 20
This record from the Alexandria database describes HfPRh3 after structural relaxation. The functional is PBE.

Cell: 4.3859 4.3859 4.3859 Å, 90.00 90.00 90.00°
Atoms (fractional coordinates):
Hf 0.0000 0.0000 0.0000
P 0.5000 0.5000 0.5000
Rh 0.0000 0.5000 0.5000
Rh 0.5000 0.0000 0.5000
Rh 0.5000 0.5000 0.0000

Computed properties:
**ΔE to the lowest computed polymorph**: 0.0 kJ/mol of atoms
**Size of the total moment**: 0.0000 μB per atom
**Energy of formation from the pure elements**: -341 meV per atom
**Volume**: 16.873 A^3/atom